# Pm8Ge3Te4H | Alexandria | PBE | optimized geometry
data_Pm8Ge3Te4H
_cell_length_a 8.6118
_cell_length_b 8.6118
_cell_length_c 21.6041
_cell_angle_alpha 90.00
_cell_angle_beta 90.00
_cell_angle_gamma 120.00
_symmetry_space_group_name_H-M 'R -3 m'
_symmetry_Int_Tables_number 166
_symmetry_space_group_name_Hall '-R 3 2"'
loop_
_atom_site_label
_atom_site_type_symbol
_atom_site_fract_x
_atom_site_fract_y
_atom_site_fract_z
_atom_site_occupancy
Pm1 Pm 0.0000 0.0000 0.2415 1
Pm2 Pm 0.0063 0.5032 0.7581 1
Ge1 Ge 0.0000 0.5000 0.5000 1
Te1 Te 0.0000 0.0000 0.0000 1
Te2 Te 0.0000 0.5000 0.0000 1
H1 H 0.0000 0.0000 0.5000 1
# Total DFT energy (no corrections) in eV per atom: -5.340

# Pr3GeH2 | Alexandria | PBE | optimized geometry
data_Pr3GeH2
_cell_length_a 5.018
_cell_length_b 12.699
_cell_length_c 3.998
_cell_angle_alpha 90.00
_cell_angle_beta 90.00
_cell_angle_gamma 90.00
_symmetry_space_group_name_H-M 'P m m n'
_symmetry_Int_Tables_number 59
loop_
_symmetry_equiv_pos_as_xyz
'x,y,z'
'-x,-y,-z'
'-x+1/2,-y+1/2,z'
'x+1/2,y+1/2,-z'
'x+1/2,-y,-z'
'-x+1/2,y,z'
'-x,y+1/2,-z'
'x,-y+1/2,z'
loop_
_atom_site_label
_atom_site_type_symbol
_atom_site_fract_x
_atom_site_fract_y
_atom_site_fract_z
_atom_site_occupancy
Pr1 Pr 0.250 0.061 0.245 1
Pr2 Pr 0.250 0.750 0.705 1
Ge1 Ge 0.250 0.250 0.759 1
H1 H 0.250 0.555 0.741 1
# Total DFT energy (no corrections) in eV per atom: -4.786

# Pr12Ge3H5 | Alexandria | PBE | optimized geometry
data_Pr12Ge3H5
_cell_length_a 15.953
_cell_length_b 15.953
_cell_length_c 15.953
_cell_angle_alpha 90.00
_cell_angle_beta 90.00
_cell_angle_gamma 90.00
_symmetry_space_group_name_H-M 'I a -3 d'
_symmetry_Int_Tables_number 230
_symmetry_space_group_name_Hall '-I 4bd 2c 3'
loop_
_atom_site_label
_atom_site_type_symbol
_atom_site_fract_x
_atom_site_fract_y
_atom_site_fract_z
_atom_site_occupancy
Pr1 Pr 0.037 0.061 0.653 1
Ge1 Ge 0.000 0.250 0.125 1
H1 H 0.000 0.000 0.000 1
H2 H 0.000 0.250 0.375 1
# Total DFT energy (no corrections) in eV per atom: -4.769

# Pr2GeH2 | Alexandria | PBE | optimized geometry
data_Pr2GeH2
_cell_length_a 3.755
_cell_length_b 3.955
_cell_length_c 6.822
_cell_angle_alpha 73.28
_cell_angle_beta 74.16
_cell_angle_gamma 89.74
_symmetry_space_group_name_H-M 'P -1'
_symmetry_Int_Tables_number 2
_symmetry_space_group_name_Hall '-P 1'
loop_
_atom_site_label
_atom_site_type_symbol
_atom_site_fract_x
_atom_site_fract_y
_atom_site_fract_z
_atom_site_occupancy
Pr1 Pr 0.140 0.140 0.223 1
Ge1 Ge 0.500 0.500 0.500 1
H1 H 0.247 0.746 0.007 1
# Total DFT energy (no corrections) in eV per atom: -4.841

| no. | calculated volume (Å³ per atom) |
| --- | --- |
| 1 | 28.91 |
| 2 | 21.23 |
| 3 | 25.37 |
| 4 | 18.60 |